Record 1
VASP calculation (GGA-PBE) on a relaxed CuSiS crystal.

Geometry as POSCAR:
```
CuSiS
1.0
4.574 0.000 0.000
0.136 4.801 0.000
1.224 1.416 4.784
Si S Cu
2 2 2
Direct
0.498 0.620 0.388 Si
0.906 0.947 0.386 Si
0.675 0.221 0.652 S
0.124 0.688 0.724 S
0.238 0.380 0.149 Cu
0.302 0.928 0.997 Cu
```

Calculated values
crystal system: triclinic
calculated density: 3.91 g/cm3
total moment: 0.0 μB per cell
total DFT energy (no corrections): -13.9 eV/f.u.
E_form (uncorrected): -0.101 eV per atom

---

Record 2
VASP calculation (GGA-PBE) on a relaxed CuSiS crystal.

Geometry as POSCAR:
```
CuSiS
1.0
-5.717 -3.719 -2.102
2.049 -2.597 -0.978
4.943 0.295 9.571
Si Cu S
4 4 4
Direct
0.521 0.500 0.522 Si
0.709 0.000 0.383 Si
0.521 0.000 0.022 Si
0.709 0.500 0.883 Si
0.401 0.000 0.765 Cu
0.401 0.500 0.265 Cu
0.908 0.000 0.270 Cu
0.908 0.500 0.770 Cu
0.299 0.000 0.515 S
0.299 0.500 0.015 S
0.985 0.500 0.149 S
0.985 0.000 0.649 S
```

Calculated values
crystal system: monoclinic
calculated density: 4.04 g/cm3
total moment: 0.0 μB per cell
total DFT energy (no corrections): -13.9 eV/f.u.
E_form (uncorrected): -0.098 eV per atom

---

Record 3
VASP calculation (GGA-PBE) on a relaxed CuSiS crystal.

Geometry as POSCAR:
```
CuSiS
1.0
3.988 -0.001 0.000
-0.899 4.821 0.003
-1.075 -0.710 5.750
S Si Cu
2 2 2
Direct
0.279 0.875 0.685 S
0.721 0.125 0.315 S
0.245 0.569 0.923 Si
0.755 0.431 0.077 Si
0.849 0.154 0.750 Cu
0.151 0.846 0.250 Cu
```

Calculated values
crystal system: triclinic
calculated density: 3.72 g/cm3
total moment: 0.0 μB per cell
total DFT energy (no corrections): -14.1 eV/f.u.
E_form (uncorrected): -0.153 eV per atom

---

Record 4
VASP calculation (GGA-PBE) on a relaxed CuSiS crystal.

Geometry as POSCAR:
```
CuSiS
1.0
6.944 0.000 0.003
0.000 3.405 0.000
-5.271 0.000 8.767
Si S Cu
4 4 4
Direct
0.503 0.500 0.301 Si
0.015 0.000 0.650 Si
0.503 0.000 0.801 Si
0.015 0.500 0.150 Si
0.236 0.500 0.051 S
0.704 0.000 0.292 S
0.704 0.500 0.792 S
0.236 0.000 0.551 S
0.743 0.500 0.584 Cu
0.294 0.000 0.916 Cu
0.294 0.500 0.416 Cu
0.743 0.000 0.084 Cu
```

Calculated values
crystal system: monoclinic
calculated density: 3.96 g/cm3
total moment: 0.0 μB per cell
total DFT energy (no corrections): -13.9 eV/f.u.
E_form (uncorrected): -0.072 eV per atom